No. 1
VSbAs2Se: relaxed, PBE-GGA.

Calculated values
N(E_F): 5.60 states/eV per cell
Magnetic moment: 0.001 μB per cell
ρ: 5.96 g/cm3
Space group: No. 123
Relative energy among the computed polymorphs: 0 meV per atom

abc: 4.9094 4.9094 4.6449
angles: 90.00 90.00 90.00
Last column: nearest neighbours and their distance in Å.
Fractional positions:
Sb: 0.5000 0.5000 0.5000  8 As 3.38, 4 Se 3.47
As: 0.0000 0.5000 0.0000  2 V 2.45
As: 0.5000 0.0000 0.0000  2 V 2.45
Se: 0.0000 0.0000 0.5000  2 V 2.32
V: 0.0000 0.0000 0.0000  2 Se 2.32, 4 As 2.45


No. 2
SbAs2WSe: relaxed, PBE-GGA.

Calculated values
N(E_F): 5.79 states/eV per cell
Magnetic moment: 0.003 μB per cell
ρ: 7.35 g/cm3
Space group: No. 123
Relative energy among the computed polymorphs: 0 meV per atom

abc: 5.0413 5.0413 4.7494
angles: 90.00 90.00 90.00
Last column: nearest neighbours and their distance in Å.
Fractional positions:
Sb: 0.5000 0.5000 0.5000  8 As 3.46, 4 Se 3.56
As: 0.0000 0.5000 0.0000  2 W 2.52
As: 0.5000 0.0000 0.0000  2 W 2.52
Se: 0.0000 0.0000 0.5000  2 W 2.37
W: 0.0000 0.0000 0.0000  2 Se 2.37, 4 As 2.52


No. 3
SbAsWSe2: relaxed, PBE-GGA.

Calculated values
N(E_F): 6.34 states/eV per cell
Magnetic moment: 0.122 μB per cell
ρ: 7.34 g/cm3
Space group: No. 123
Relative energy among the computed polymorphs: 0 meV per atom

abc: 4.8338 4.8338 5.2134
angles: 90.00 90.00 90.00
Last column: nearest neighbours and their distance in Å.
Fractional positions:
Sb: 0.5000 0.5000 0.5000  4 As 3.42, 8 Se 3.55
As: 0.0000 0.0000 0.5000  2 W 2.61
Se: 0.0000 0.5000 0.0000  2 W 2.42
Se: 0.5000 0.0000 0.0000  2 W 2.42
W: 0.0000 0.0000 0.0000  4 Se 2.42, 2 As 2.61


No. 4
ZrSbAs2Se: relaxed, PBE-GGA.

Calculated values
N(E_F): 4.26 states/eV per cell
Magnetic moment: 0.000 μB per cell
ρ: 5.22 g/cm3
Space group: No. 123
Relative energy among the computed polymorphs: 0 meV per atom

abc: 5.2639 5.2639 5.0689
angles: 90.00 90.00 90.00
Last column: nearest neighbours and their distance in Å.
Fractional positions:
Sb: 0.5000 0.5000 0.5000  8 As 3.65, 4 Se 3.72
As: 0.0000 0.5000 0.0000  2 Zr 2.63
As: 0.5000 0.0000 0.0000  2 Zr 2.63
Se: 0.0000 0.0000 0.5000  2 Zr 2.53
Zr: 0.0000 0.0000 0.0000  2 Se 2.53, 4 As 2.63


No. 5
ZrSbAsSe2: relaxed, PBE-GGA.

Calculated values
N(E_F): 5.13 states/eV per cell
Magnetic moment: 0.754 μB per cell
ρ: 5.31 g/cm3
Space group: No. 123
Relative energy among the computed polymorphs: 612 meV per atom

abc: 5.1851 5.1851 5.1843
angles: 90.00 90.00 90.00
Last column: nearest neighbours and their distance in Å.
Fractional positions:
Sb: 0.0000 0.0000 0.0000  2 As 2.59, 4 Se 2.59
As: 0.0000 0.0000 0.5000  2 Sb 2.59
Se: 0.0000 0.5000 0.0000  2 Sb 2.59
Se: 0.5000 0.0000 0.0000  2 Sb 2.59
Zr: 0.5000 0.5000 0.5000  8 Se 3.67, 4 As 3.67


No. 6
ZrSbAsSe2: relaxed, PBE-GGA.

Calculated values
N(E_F): 5.20 states/eV per cell
Magnetic moment: 0.000 μB per cell
ρ: 5.24 g/cm3
Space group: No. 123
Relative energy among the computed polymorphs: 0 meV per atom

abc: 5.1312 5.1312 5.3690
angles: 90.00 90.00 90.00
Last column: nearest neighbours and their distance in Å.
Fractional positions:
Sb: 0.5000 0.5000 0.5000  4 As 3.63, 8 Se 3.71
As: 0.0000 0.0000 0.5000  2 Zr 2.68
Se: 0.0000 0.5000 0.0000  2 Zr 2.57
Se: 0.5000 0.0000 0.0000  2 Zr 2.57
Zr: 0.0000 0.0000 0.0000  4 Se 2.57, 2 As 2.68


No. 7
ZrSbAs2Se: relaxed, PBE-GGA.

Calculated values
N(E_F): 3.09 states/eV per cell
Magnetic moment: 0.001 μB per cell
ρ: 5.39 g/cm3
Space group: No. 123
Relative energy among the computed polymorphs: 556 meV per atom

abc: 5.1335 5.1335 5.1663
angles: 90.00 90.00 90.00
Last column: nearest neighbours and their distance in Å.
Fractional positions:
Sb: 0.0000 0.0000 0.0000  4 As 2.57, 2 Se 2.58
As: 0.0000 0.5000 0.0000  2 Sb 2.57
As: 0.5000 0.0000 0.0000  2 Sb 2.57
Se: 0.0000 0.0000 0.5000  2 Sb 2.58
Zr: 0.5000 0.5000 0.5000  4 Se 3.63, 8 As 3.64


No. 8
Si2SbAs: relaxed, PBE-GGA.

Calculated values
N(E_F): 0.90 states/eV per cell
Magnetic moment: 0.000 μB per cell
ρ: 4.95 g/cm3
Space group: No. 8
Relative energy among the computed polymorphs: 0 meV per atom

abc: 3.9906 3.9906 7.1719
angles: 67.34 67.34 55.60
Last column: nearest neighbours and their distance in Å.
Fractional positions:
As: 0.4554 0.4554 0.5133  2 Si 2.63, 3 Sb 2.68-2.89
Sb: 0.2754 0.2754 0.2532  3 As 2.68-2.89, 2 Si 2.81
Si: 0.0067 0.0067 0.9429  3 Si 2.41-2.49
Si: 0.7626 0.7626 0.7906  3 Si 2.41-2.49, 2 As 2.63


| no. | total DFT energy (no corrections) (eV per atom) |
| --- | --- |
| 1 | -4.956 |
| 2 | -5.425 |
| 3 | -5.261 |
| 4 | -4.934 |
| 5 | -4.292 |
| 6 | -4.904 |
| 7 | -4.378 |
| 8 | -4.713 |